# PrNd5Mg | the Alexandria database | GGA-PBE | optimized geometry
data_PrNd5Mg
_chemical_formula_sum 'Pr2 Nd10 Mg2'
_cell_length_a 6.601
_cell_length_b 6.601
_cell_length_c 11.983
_cell_angle_alpha 104.15
_cell_angle_beta 104.15
_cell_angle_gamma 96.25
_space_group_name_H-M_alt 'P 1'
_space_group_IT_number 1
_space_group_name_Hall 'P 1'
loop_
_atom_site_label
_atom_site_type_symbol
_atom_site_fract_x
_atom_site_fract_y
_atom_site_fract_z
_atom_site_occupancy
Pr1 Pr 0.247 0.753 0.750 1
Pr2 Pr 0.753 0.247 0.250 1
Nd1 Nd 0.089 0.261 0.538 1
Nd2 Nd 0.110 0.890 0.250 1
Nd3 Nd 0.261 0.089 0.038 1
Nd4 Nd 0.324 0.461 0.348 1
Nd5 Nd 0.461 0.324 0.848 1
Nd6 Nd 0.539 0.676 0.152 1
Nd7 Nd 0.676 0.539 0.652 1
Nd8 Nd 0.739 0.911 0.962 1
Nd9 Nd 0.890 0.110 0.750 1
Nd10 Nd 0.911 0.739 0.462 1
Mg1 Mg 0.000 0.500 0.000 1
Mg2 Mg 0.500 0.000 0.500 1
# Symmetry ... C2/c



# Pr4Nd3Mg | the Alexandria database | GGA-PBE | optimized geometry
data_Pr4Nd3Mg
_chemical_formula_sum 'Pr4 Nd3 Mg1'
_cell_length_a 3.720
_cell_length_b 3.720
_cell_length_c 19.943
_cell_angle_alpha 90.00
_cell_angle_beta 90.00
_cell_angle_gamma 90.00
_space_group_name_H-M_alt 'P 1'
_space_group_IT_number 1
_space_group_name_Hall 'P 1'
loop_
_atom_site_label
_atom_site_type_symbol
_atom_site_fract_x
_atom_site_fract_y
_atom_site_fract_z
_atom_site_occupancy
Pr1 Pr 0.000 0.000 0.109 1
Pr2 Pr 0.000 0.000 0.370 1
Pr3 Pr 0.000 0.000 0.630 1
Pr4 Pr 0.000 0.000 0.891 1
Nd1 Nd 0.500 0.500 0.238 1
Nd2 Nd 0.500 0.500 0.500 1
Nd3 Nd 0.500 0.500 0.762 1
Mg1 Mg 0.500 0.500 0.000 1
# Symmetry ... P4/mmm
# Excess energy over the best structure of this formula in the dataset ... 0.0000 eV/atom



# PrNd4Mg3 | the Alexandria database | GGA-PBE | optimized geometry
data_PrNd4Mg3
_chemical_formula_sum 'Pr1 Nd4 Mg3'
_cell_length_a 3.841
_cell_length_b 5.658
_cell_length_c 11.428
_cell_angle_alpha 90.00
_cell_angle_beta 90.00
_cell_angle_gamma 90.00
_space_group_name_H-M_alt 'P 1'
_space_group_IT_number 1
_space_group_name_Hall 'P 1'
loop_
_atom_site_label
_atom_site_type_symbol
_atom_site_fract_x
_atom_site_fract_y
_atom_site_fract_z
_atom_site_occupancy
Pr1 Pr 0.000 0.000 0.000 1
Nd1 Nd 0.500 0.000 0.265 1
Nd2 Nd 0.500 0.000 0.735 1
Nd3 Nd 0.500 0.500 0.000 1
Nd4 Nd 0.500 0.500 0.500 1
Mg1 Mg 0.000 0.000 0.500 1
Mg2 Mg 0.000 0.500 0.252 1
Mg3 Mg 0.000 0.500 0.748 1
# Symmetry ... Pmmm



# Pr8Nd5Mg | the Alexandria database | GGA-PBE | optimized geometry
data_Pr8Nd5Mg
_chemical_formula_sum 'Pr8 Nd5 Mg1'
_cell_length_a 8.668
_cell_length_b 8.676
_cell_length_c 9.021
_cell_angle_alpha 118.32
_cell_angle_beta 116.47
_cell_angle_gamma 92.43
_space_group_name_H-M_alt 'P 1'
_space_group_IT_number 1
_space_group_name_Hall 'P 1'
loop_
_atom_site_label
_atom_site_type_symbol
_atom_site_fract_x
_atom_site_fract_y
_atom_site_fract_z
_atom_site_occupancy
Pr1 Pr 0.000 0.000 0.000 1
Pr2 Pr 0.004 0.866 0.538 1
Pr3 Pr 0.170 0.602 0.745 1
Pr4 Pr 0.318 0.313 0.943 1
Pr5 Pr 0.508 0.928 0.750 1
Pr6 Pr 0.682 0.685 0.999 1
Pr7 Pr 0.777 0.368 0.175 1
Pr8 Pr 0.828 0.262 0.745 1
Nd1 Nd 0.194 0.507 0.304 1
Nd2 Nd 0.357 0.220 0.537 1
Nd3 Nd 0.481 0.798 0.304 1
Nd4 Nd 0.491 0.085 0.175 1
Nd5 Nd 0.666 0.558 0.540 1
Mg1 Mg 0.925 0.150 0.390 1
# Symmetry ... P1



# Pr5NdMg5 | the Alexandria database | GGA-PBE | optimized geometry
data_Pr5NdMg5
_chemical_formula_sum 'Pr5 Nd1 Mg5'
_cell_length_a 9.710
_cell_length_b 9.710
_cell_length_c 6.816
_cell_angle_alpha 110.46
_cell_angle_beta 110.46
_cell_angle_gamma 35.75
_space_group_name_H-M_alt 'P 1'
_space_group_IT_number 1
_space_group_name_Hall 'P 1'
loop_
_atom_site_label
_atom_site_type_symbol
_atom_site_fract_x
_atom_site_fract_y
_atom_site_fract_z
_atom_site_occupancy
Pr1 Pr 0.000 0.000 0.000 1
Pr2 Pr 0.316 0.316 0.315 1
Pr3 Pr 0.367 0.367 0.866 1
Pr4 Pr 0.633 0.633 0.134 1
Pr5 Pr 0.684 0.684 0.685 1
Nd1 Nd 0.000 0.000 0.500 1
Mg1 Mg 0.169 0.169 0.437 1
Mg2 Mg 0.169 0.169 0.903 1
Mg3 Mg 0.500 0.500 0.500 1
Mg4 Mg 0.831 0.831 0.097 1
Mg5 Mg 0.831 0.831 0.563 1
# Symmetry ... C2/m



# Pr7Nd2Mg2 | the Alexandria database | GGA-PBE | optimized geometry
data_Pr7Nd2Mg2
_chemical_formula_sum 'Pr7 Nd2 Mg2'
_cell_length_a 8.034
_cell_length_b 8.034
_cell_length_c 6.266
_cell_angle_alpha 104.61
_cell_angle_beta 104.61
_cell_angle_gamma 94.25
_space_group_name_H-M_alt 'P 1'
_space_group_IT_number 1
_space_group_name_Hall 'P 1'
loop_
_atom_site_label
_atom_site_type_symbol
_atom_site_fract_x
_atom_site_fract_y
_atom_site_fract_z
_atom_site_occupancy
Pr1 Pr 0.000 0.000 0.000 1
Pr2 Pr 0.062 0.579 0.811 1
Pr3 Pr 0.420 0.420 0.201 1
Pr4 Pr 0.421 0.938 0.189 1
Pr5 Pr 0.579 0.062 0.811 1
Pr6 Pr 0.580 0.580 0.799 1
Pr7 Pr 0.938 0.421 0.189 1
Nd1 Nd 0.207 0.207 0.593 1
Nd2 Nd 0.793 0.793 0.407 1
Mg1 Mg 0.230 0.770 0.500 1
Mg2 Mg 0.770 0.230 0.500 1
# Symmetry ... C2/m



# PrNdMg2 | the Alexandria database | GGA-PBE | optimized geometry
data_PrNdMg2
_chemical_formula_sum 'Pr1 Nd1 Mg2'
_cell_length_a 5.508
_cell_length_b 5.508
_cell_length_c 3.912
_cell_angle_alpha 90.00
_cell_angle_beta 90.00
_cell_angle_gamma 90.00
_space_group_name_H-M_alt 'P 1'
_space_group_IT_number 1
_space_group_name_Hall 'P 1'
loop_
_atom_site_label
_atom_site_type_symbol
_atom_site_fract_x
_atom_site_fract_y
_atom_site_fract_z
_atom_site_occupancy
Pr1 Pr 0.000 0.000 0.000 1
Nd1 Nd 0.500 0.500 0.000 1
Mg1 Mg 0.000 0.500 0.500 1
Mg2 Mg 0.500 0.000 0.500 1
# Symmetry ... P4/mmm
# Excess energy over the best structure of this formula in the dataset ... 0.0036 eV/atom



# Pr2Nd8Mg | the Alexandria database | GGA-PBE | optimized geometry
data_Pr2Nd8Mg
_chemical_formula_sum 'Pr2 Nd8 Mg1'
_cell_length_a 9.939
_cell_length_b 9.939
_cell_length_c 9.939
_cell_angle_alpha 146.53
_cell_angle_beta 133.75
_cell_angle_gamma 58.29
_space_group_name_H-M_alt 'P 1'
_space_group_IT_number 1
_space_group_name_Hall 'P 1'
loop_
_atom_site_label
_atom_site_type_symbol
_atom_site_fract_x
_atom_site_fract_y
_atom_site_fract_z
_atom_site_occupancy
Pr1 Pr 0.195 0.195 0.000 1
Pr2 Pr 0.805 0.805 0.000 1
Nd1 Nd 0.086 0.366 0.720 1
Nd2 Nd 0.237 0.000 0.237 1
Nd3 Nd 0.327 0.827 0.500 1
Nd4 Nd 0.354 0.634 0.720 1
Nd5 Nd 0.646 0.366 0.280 1
Nd6 Nd 0.673 0.173 0.500 1
Nd7 Nd 0.763 0.000 0.763 1
Nd8 Nd 0.914 0.634 0.280 1
Mg1 Mg 0.500 0.500 0.000 1
# Symmetry ... Immm
# Excess energy over the best structure of this formula in the dataset ... 0.0000 eV/atom



Q: Which E values were calculated for the entries above? A: -29.6, -35.1, -28.9, -62.3, -35.3, -45.1, -13.2, -48.2, in eV/f.u..
Q: Which formation energy from the elements values were calculated for the entries above? A: 0.0897, -0.0146, -0.0336, 0.0967, 0.1197, 0.0965, -0.1159, 0.0982, in eV/atom.